A relaxed structure of Sr2AsIr, computed with PBE.

Its crystal system is orthorhombic. The value obtained for the magnetization is 0.174 μB/atom. For the formation energy, the calculation gives -0.10 eV/atom. For the density of states at the Fermi level, the calculation gives 4.69 states/eV/cell.

Lattice parameters (Å, degrees): 3.352 5.286 6.225 90.00 90.00 90.00
Fractional positions:
Sr  0.000  0.000  0.000
Sr  0.500  0.500  0.500
As  0.000  0.000  0.500
Ir  0.500  0.500  0.000


A relaxed structure of PdPt2Pb2, computed with PBE.

Its crystal system is tetragonal. The value obtained for the magnetization is 0.000 μB/atom. As for the energy above the most stable polymorph in this dataset: 58 meV/atom. For the formation energy, the calculation gives 0.00 eV/atom. For the density of states at the Fermi level, the calculation gives 2.43 states/eV/cell.

Lattice parameters (Å, degrees): 8.226 8.226 8.226 153.54 153.54 37.77
Fractional positions:
Pd  0.000  0.000  0.000
Pt  0.250  0.750  0.500
Pt  0.750  0.250  0.500
Pb  0.394  0.394  0.000
Pb  0.606  0.606  0.000


A relaxed structure of KCuBiC2, computed with PBE.

Its crystal system is tetragonal. The value obtained for the magnetization is 0.734 μB/atom. For the formation energy, the calculation gives 3.25 eV/atom. For the density of states at the Fermi level, the calculation gives 3.41 states/eV/cell.

Lattice parameters (Å, degrees): 4.843 4.843 7.034 90.00 90.00 90.00
Fractional positions:
K  0.000  0.000  0.000
Cu  0.500  0.500  0.500
Bi  0.000  0.000  0.500
C  0.000  0.500  0.000
C  0.500  0.000  0.000